No. 1
Ba2Pm3Pb4 | PBE-GGA | relaxed

Cell lengths 7.6163, 9.4388, 9.9415 Å; angles 90.00, 112.52, 90.00 degrees
Last column: nearest neighbours and their distance in Å.
Sites, in units of the cell vectors:
Pb (0.1880, 0.9548, 0.3760)  5 Pm 3.29-3.48
Pb (0.6880, 0.5452, 0.3760)  5 Pm 3.29-3.48
Pb (0.3120, 0.4548, 0.6240)  5 Pm 3.29-3.48
Pb (0.7884, 0.2500, 0.0768)  3 Pm 3.11-3.16
Pb (0.7116, 0.7500, 0.9232)  3 Pm 3.11-3.16
Pb (0.2116, 0.7500, 0.9232)  3 Pm 3.11-3.16
Pb (0.2884, 0.2500, 0.0768)  3 Pm 3.11-3.16
Pb (0.8120, 0.0452, 0.6240)  5 Pm 3.29-3.48
Pm (0.0000, 0.0000, 0.0000)  6 Pb 3.11-3.48
Pm (0.4603, 0.2500, 0.4207)  5 Pb 3.16-3.40
Pm (0.5000, 0.5000, 0.0000)  6 Pb 3.11-3.48
Pm (0.5397, 0.7500, 0.5793)  5 Pb 3.16-3.40
Pm (0.0397, 0.7500, 0.5793)  5 Pb 3.16-3.40
Pm (0.9603, 0.2500, 0.4207)  5 Pb 3.16-3.40
Ba (0.8891, 0.4152, 0.7783)  8 Pb 3.68-4.08, 4 Pm 4.10-4.12
Ba (0.1109, 0.5848, 0.2217)  8 Pb 3.68-4.08, 4 Pm 4.10-4.12
Ba (0.6109, 0.9152, 0.2217)  8 Pb 3.68-4.08, 4 Pm 4.10-4.12
Ba (0.3891, 0.0848, 0.7783)  8 Pb 3.68-4.08, 4 Pm 4.10-4.12

## Properties
Raw total energy in eV/cell: -74.52
DFT formation energy in meV/atom: -481
Volume in Å³ per atom: 36.68



No. 2
BaPmPb4 | PBE-GGA | relaxed

Cell lengths 6.6072, 6.6072, 6.6072 Å; angles 60.00, 60.00, 60.00 degrees
Last column: nearest neighbours and their distance in Å.
Sites, in units of the cell vectors:
Pb (0.6241, 0.6241, 0.6241)  6 Pb 3.28-3.33
Pb (0.6241, 0.6241, 0.1277)  6 Pb 3.28-3.33
Pb (0.6241, 0.1277, 0.6241)  6 Pb 3.28-3.33
Pb (0.1277, 0.6241, 0.6241)  6 Pb 3.28-3.33
Ba (0.0000, 0.0000, 0.0000)  12 Pb 3.88, 4 Pm 4.05
Pm (0.2500, 0.2500, 0.2500)  12 Pb 3.87, 4 Ba 4.05

## Properties
Raw total energy in eV/cell: -23.23
Offset from the most stable computed form in kcal/mol of atoms: 2.55
DFT formation energy in meV/atom: -288
Volume in Å³ per atom: 33.99



No. 3
BaPmPb4 | PBE-GGA | relaxed

Cell lengths 4.8445, 6.9185, 12.5798 Å; angles 90.00, 101.10, 90.00 degrees
Last column: nearest neighbours and their distance in Å.
Sites, in units of the cell vectors:
Pb (0.1424, 0.5171, 0.2848)  4 Pb 3.22-3.52, 2 Pm 3.47
Pb (0.4235, 0.7500, 0.8470)  8 Pb 3.45-3.53, 3 Pm 3.47-3.51, 1 Ba 3.63
Pb (0.0000, 0.0000, 0.0000)  4 Pm 3.39, 8 Pb 3.46-3.53
Pb (0.8576, 0.0171, 0.7152)  4 Pb 3.22-3.52, 2 Pm 3.47
Pb (0.5765, 0.2500, 0.1530)  8 Pb 3.45-3.53, 3 Pm 3.47-3.51, 1 Ba 3.63
Pb (0.1424, 0.9829, 0.2848)  4 Pb 3.22-3.52, 2 Pm 3.47
Pb (0.0000, 0.5000, 0.0000)  4 Pm 3.39, 8 Pb 3.46-3.53
Pb (0.8576, 0.4829, 0.7152)  4 Pb 3.22-3.52, 2 Pm 3.47
Ba (0.7233, 0.2500, 0.4467)  7 Pb 3.63-3.69
Ba (0.2767, 0.7500, 0.5533)  7 Pb 3.63-3.69
Pm (0.5655, 0.7500, 0.1311)  11 Pb 3.39-3.51
Pm (0.4345, 0.2500, 0.8689)  11 Pb 3.39-3.51

## Properties
Raw total energy in eV/cell: -47.79
Offset from the most stable computed form in kcal/mol of atoms: 0.00
DFT formation energy in meV/atom: -398
Volume in Å³ per atom: 34.48



No. 4
BaPmPb | PBE-GGA | relaxed

Cell lengths 4.8517, 5.4165, 5.4165 Å; angles 120.00, 90.00, 90.00 degrees
Last column: nearest neighbours and their distance in Å.
Sites, in units of the cell vectors:
Pb (0.1675, 0.0000, 0.0000)  3 Pm 3.13
Pm (0.1660, 0.6667, 0.3333)  3 Pb 3.13
Ba (0.6664, 0.3333, 0.6667)  6 Pb 3.95-3.96, 6 Pm 3.96

## Properties
Raw total energy in eV/cell: -11.23
Offset from the most stable computed form in kcal/mol of atoms: 4.02
DFT formation energy in meV/atom: -284
Volume in Å³ per atom: 41.09



No. 5
BaPmPb3 | PBE-GGA | relaxed

Cell lengths 5.0433, 5.1090, 8.1522 Å; angles 71.74, 71.98, 90.03 degrees
Last column: nearest neighbours and their distance in Å.
Sites, in units of the cell vectors:
Pm (0.0247, 0.8281, 0.6559)  5 Pb 3.17-3.23
Pb (0.6624, 0.9661, 0.3810)  2 Pm 3.23, 6 Pb 3.33-3.59
Pb (0.8077, 0.6113, 0.0887)  1 Pm 3.17, 4 Pb 3.32-3.34
Pb (0.1603, 0.4636, 0.3856)  2 Pm 3.23, 6 Pb 3.32-3.59
Ba (0.3525, 0.1560, 0.9999)  8 Pb 3.64-3.81

## Properties
Raw total energy in eV/cell: -18.94
DFT formation energy in meV/atom: -227
Volume in Å³ per atom: 37.72



No. 6
BaPm4Pb5 | PBE-GGA | relaxed

Cell lengths 3.6424, 3.6424, 23.4986 Å; angles 90.00, 90.00, 90.00 degrees
Last column: nearest neighbours and their distance in Å.
Sites, in units of the cell vectors:
Pb (0.5000, 0.5000, 0.1127)  4 Pm 3.44, 4 Pb 3.64, 4 Ba 3.69
Pb (0.5000, 0.5000, 0.8873)  4 Pm 3.44, 4 Pb 3.64, 4 Ba 3.69
Pb (0.5000, 0.5000, 0.5000)  8 Pm 3.44, 4 Pb 3.64
Pb (0.5000, 0.5000, 0.6936)  8 Pm 3.43-3.44, 4 Pb 3.64
Pb (0.5000, 0.5000, 0.3064)  8 Pm 3.43-3.44, 4 Pb 3.64
Pm (0.0000, 0.0000, 0.4032)  8 Pb 3.44, 4 Pm 3.64
Pm (0.0000, 0.0000, 0.2100)  8 Pb 3.43-3.44, 4 Pm 3.64
Pm (0.0000, 0.0000, 0.7900)  8 Pb 3.43-3.44, 4 Pm 3.64
Pm (0.0000, 0.0000, 0.5968)  8 Pb 3.44, 4 Pm 3.64
Ba (0.0000, 0.0000, 0.0000)  4 Ba 3.64, 8 Pb 3.69

## Properties
Raw total energy in eV/cell: -44.46
DFT formation energy in meV/atom: -500
Volume in Å³ per atom: 31.18



No. 7
BaPmPb | PBE-GGA | relaxed

Cell lengths 5.1476, 5.1474, 9.0482 Å; angles 90.00, 90.01, 90.01 degrees
Last column: nearest neighbours and their distance in Å.
Sites, in units of the cell vectors:
Pm (0.8136, 0.3665, 0.9196)  4 Pb 3.35, 4 Pm 3.64
Pm (0.3136, 0.8665, 0.9196)  4 Pb 3.35, 4 Pm 3.64
Pb (0.8136, 0.8665, 0.1560)  4 Pm 3.35, 1 Ba 3.70
Pb (0.3136, 0.3664, 0.6832)  4 Pm 3.35, 1 Ba 3.70
Ba (0.3136, 0.3665, 0.2741)  5 Pb 3.70-3.79, 4 Pm 4.11
Ba (0.8136, 0.8664, 0.5651)  5 Pb 3.70-3.79, 4 Pm 4.11

## Properties
Raw total energy in eV/cell: -23.51
Offset from the most stable computed form in kcal/mol of atoms: 0.00
DFT formation energy in meV/atom: -458
Volume in Å³ per atom: 39.96



No. 8
BaPmPb | PBE-GGA | relaxed

Cell lengths 5.6553, 5.6553, 5.6553 Å; angles 60.00, 60.00, 60.00 degrees
Last column: nearest neighbours and their distance in Å.
Sites, in units of the cell vectors:
Pm (0.0000, 0.0000, 0.0000)  4 Pb 3.46
Pb (0.2500, 0.2500, 0.2500)  4 Ba 3.46, 4 Pm 3.46
Ba (0.5000, 0.5000, 0.5000)  4 Pb 3.46

## Properties
Raw total energy in eV/cell: -11.00
Offset from the most stable computed form in kcal/mol of atoms: 5.81
DFT formation energy in meV/atom: -207
Volume in Å³ per atom: 42.63



No. 9
BaPm2Pb | PBE-GGA | relaxed

Cell lengths 5.0307, 5.2142, 5.2142 Å; angles 90.00, 90.00, 90.00 degrees
Last column: nearest neighbours and their distance in Å.
Sites, in units of the cell vectors:
Pm (0.0000, 0.5000, 0.0000)  4 Ba 3.62, 4 Pb 3.62, 4 Pm 3.69
Pm (0.0000, 0.0000, 0.5000)  4 Ba 3.62, 4 Pb 3.62, 4 Pm 3.69
Ba (0.5000, 0.5000, 0.5000)  8 Pm 3.62, 4 Pb 3.69
Pb (0.5000, 0.0000, 0.0000)  8 Pm 3.62, 4 Ba 3.69

## Properties
Raw total energy in eV/cell: -15.77
Offset from the most stable computed form in kcal/mol of atoms: 0.00
DFT formation energy in meV/atom: -159
Volume in Å³ per atom: 34.19



No. 10
BaPmPb | PBE-GGA | relaxed

Cell lengths 4.3026, 4.3026, 13.0264 Å; angles 90.00, 90.00, 90.00 degrees
Last column: nearest neighbours and their distance in Å.
Sites, in units of the cell vectors:
Pb (0.0000, 0.5000, 0.6807)  5 Pm 3.32-3.39
Pb (0.5000, 0.0000, 0.3193)  5 Pm 3.32-3.39
Ba (0.0000, 0.5000, 0.1476)  1 Pm 3.56, 4 Pb 3.78
Ba (0.5000, 0.0000, 0.8524)  1 Pm 3.56, 4 Pb 3.78
Pm (0.5000, 0.0000, 0.5795)  5 Pb 3.32-3.39, 1 Ba 3.56, 4 Pm 3.68
Pm (0.0000, 0.5000, 0.4205)  5 Pb 3.32-3.39, 1 Ba 3.56, 4 Pm 3.68

## Properties
Raw total energy in eV/cell: -23.11
Offset from the most stable computed form in kcal/mol of atoms: 1.56
DFT formation energy in meV/atom: -391
Volume in Å³ per atom: 40.19



No. 11
BaPm2Pb | PBE-GGA | relaxed

Cell lengths 3.7116, 3.7116, 12.6302 Å; angles 81.55, 81.55, 60.00 degrees
Last column: nearest neighbours and their distance in Å.
Sites, in units of the cell vectors:
Pm (0.9030, 0.9030, 0.2910)  3 Pb 3.37, 1 Ba 3.62, 6 Pm 3.71
Pm (0.0970, 0.0970, 0.7090)  3 Pb 3.37, 1 Ba 3.62, 6 Pm 3.71
Ba (0.0000, 0.0000, 0.0000)  2 Pm 3.62, 6 Ba 3.71
Pb (0.5000, 0.5000, 0.5000)  6 Pm 3.37, 6 Pb 3.71

## Properties
Raw total energy in eV/cell: -14.87
Offset from the most stable computed form in kcal/mol of atoms: 5.19
DFT formation energy in meV/atom: 66
Volume in Å³ per atom: 37.13



No. 12
BaPm2Pb3 | PBE-GGA | relaxed

Cell lengths 5.0459, 7.0666, 7.0666 Å; angles 120.00, 90.00, 90.00 degrees
Last column: nearest neighbours and their distance in Å.
Sites, in units of the cell vectors:
Pm (0.0000, 0.3333, 0.6667)  6 Pb 3.24
Pm (0.0000, 0.6667, 0.3333)  6 Pb 3.24
Pb (0.5000, 0.5000, 0.5000)  4 Pm 3.24, 4 Pb 3.53
Pb (0.5000, 0.0000, 0.5000)  4 Pm 3.24, 4 Pb 3.53
Pb (0.5000, 0.5000, 0.0000)  4 Pm 3.24, 4 Pb 3.53
Ba (0.0000, 0.0000, 0.0000)  6 Pm 4.08, 12 Pb 4.34

## Properties
Raw total energy in eV/cell: -25.31
DFT formation energy in meV/atom: -460
Volume in Å³ per atom: 36.37



| no. | magnetic moment (μB per atom) |
| --- | --- |
| 1 | 0.0000 |
| 2 | 0.0000 |
| 3 | 0.0000 |
| 4 | 0.0006 |
| 5 | 0.0000 |
| 6 | 0.0000 |
| 7 | 0.3282 |
| 8 | 0.0054 |
| 9 | 0.1113 |
| 10 | 0.1722 |
| 11 | 0.0001 |
| 12 | 0.0000 |